# LaTb3NdHo (PBE, relaxed)
data_LaTb3NdHo
_symmetry_space_group_name_H-M 'C 1 2/m 1'
_symmetry_Int_Tables_number 12
_symmetry_space_group_name_Hall '-C 2y'
_cell_length_a 20.004
_cell_length_b 5.697
_cell_length_c 7.065
_cell_angle_alpha 90.00
_cell_angle_beta 90.55
_cell_angle_gamma 90.00
loop_
_atom_site_label
_atom_site_fract_x
_atom_site_fract_y
_atom_site_fract_z
_atom_site_occupancy
La1 0.146 0.000 0.030 1
Tb1 0.022 0.000 0.740 1
Tb2 0.165 0.500 0.731 1
Tb3 0.220 0.500 0.246 1
Nd1 0.053 0.500 0.266 1
Ho1 0.149 0.000 0.463 1
# * electronic total energy: -4.51 eV/atom
# * volume: 805.1 Å³/cell
# * energy of formation from the pure elements: 0.18 eV/atom
# * Fermi-level density of states: 9.5 states/eV/f.u.